Record 1
An optimized crystal structure of TeAsPt2. Source: the Alexandria database, functional PBEsol.

Calculated values
E_form (uncorrected): -0.63 eV per formula unit
E above lowest polymorph: 0.116 eV per atom
Calculated volume: 151.2 Å³/cell

```
data_TeAsPt2
_symmetry_space_group_name_H-M 'C 1 2/m 1'
_symmetry_Int_Tables_number 12
_symmetry_space_group_name_Hall '-C 2y'
_cell_length_a 6.619
_cell_length_b 3.831
_cell_length_c 6.359
_cell_angle_alpha 90.00
_cell_angle_beta 110.33
_cell_angle_gamma 90.00
loop_
_atom_site_label
_atom_site_fract_x
_atom_site_fract_y
_atom_site_fract_z
Te1 0.000 0.000 0.000
As1 0.000 0.500 0.500
Pt1 0.237 0.000 0.713
```



Record 2
An optimized crystal structure of TlAs2Pt. Source: the Alexandria database, functional PBEsol.

Calculated values
E above lowest polymorph: 0.000 eV per atom
E_form: 0.027 eV/f.u.
Calculated volume: 81.3 Å³/cell

```
data_TlAs2Pt
_symmetry_space_group_name_H-M 'P 4/m m m'
_symmetry_Int_Tables_number 123
_symmetry_space_group_name_Hall '-P 4 2'
_cell_length_a 3.079
_cell_length_b 3.079
_cell_length_c 8.581
_cell_angle_alpha 90.00
_cell_angle_beta 90.00
_cell_angle_gamma 90.00
loop_
_atom_site_label
_atom_site_fract_x
_atom_site_fract_y
_atom_site_fract_z
Tl1 0.000 0.000 0.000
As1 0.500 0.500 0.314
Pt1 0.000 0.000 0.500
```



Record 3
An optimized crystal structure of TlAsPt. Source: the Alexandria database, functional PBEsol.

Calculated values
E_form: -0.304 eV/f.u.
Calculated volume: 63.7 Å³/cell

```
data_TlAsPt
_symmetry_space_group_name_H-M 'P 3 m 1'
_symmetry_Int_Tables_number 156
_symmetry_space_group_name_Hall 'P 3 -2"'
_cell_length_a 3.5837
_cell_length_b 3.5837
_cell_length_c 5.7297
_cell_angle_alpha 90.00
_cell_angle_beta 90.00
_cell_angle_gamma 120.00
loop_
_atom_site_label
_atom_site_fract_x
_atom_site_fract_y
_atom_site_fract_z
Tl1 0.0000 0.0000 0.0000
As1 0.3333 0.6667 0.5817
Pt1 0.6667 0.3333 0.3571
```



Record 4
An optimized crystal structure of TlAs2Pt. Source: the Alexandria database, functional PBEsol.

Calculated values
E above lowest polymorph: 0.049 eV per atom
E_form: 0.223 eV/f.u.
Calculated volume: 162.1 Å³/cell

```
data_TlAs2Pt
_symmetry_space_group_name_H-M 'I m m m'
_symmetry_Int_Tables_number 71
_symmetry_space_group_name_Hall '-I 2 2'
_cell_length_a 2.909
_cell_length_b 5.481
_cell_length_c 10.166
_cell_angle_alpha 90.00
_cell_angle_beta 90.00
_cell_angle_gamma 90.00
loop_
_atom_site_label
_atom_site_fract_x
_atom_site_fract_y
_atom_site_fract_z
Tl1 0.000 0.000 0.000
As1 0.000 0.500 0.208
Pt1 0.000 0.000 0.500
```



Record 5
An optimized crystal structure of TlAsPt2. Source: the Alexandria database, functional PBEsol.

Calculated values
E_form: -0.201 eV/f.u.
Calculated volume: 152.9 Å³/cell

```
data_TlAsPt2
_symmetry_space_group_name_H-M 'C 1 m 1'
_symmetry_Int_Tables_number 8
_symmetry_space_group_name_Hall 'C -2y'
_cell_length_a 8.594
_cell_length_b 3.340
_cell_length_c 5.429
_cell_angle_alpha 90.00
_cell_angle_beta 101.10
_cell_angle_gamma 90.00
loop_
_atom_site_label
_atom_site_fract_x
_atom_site_fract_y
_atom_site_fract_z
Tl1 0.000 0.000 0.000
As1 0.223 0.000 0.598
Pt1 0.003 0.500 0.519
Pt2 0.254 0.500 0.258
```



Record 6
An optimized crystal structure of TlAs3Pt. Source: the Alexandria database, functional PBEsol.

Calculated values
E_form: 2.541 eV/f.u.
Calculated volume: 119.8 Å³/cell

```
data_TlAs3Pt
_symmetry_space_group_name_H-M 'P m -3 m'
_symmetry_Int_Tables_number 221
_symmetry_space_group_name_Hall '-P 4 2 3'
_cell_length_a 4.930
_cell_length_b 4.930
_cell_length_c 4.930
_cell_angle_alpha 90.00
_cell_angle_beta 90.00
_cell_angle_gamma 90.00
loop_
_atom_site_label
_atom_site_fract_x
_atom_site_fract_y
_atom_site_fract_z
Tl1 0.000 0.000 0.000
As1 0.000 0.500 0.500
Pt1 0.500 0.500 0.500
```